A relaxed NbCr3Sb crystal, computed with GGA-PBE.

a = 4.759 Å, b = 4.759 Å, c = 4.759 Å
α = 90.00°, β = 90.00°, γ = 90.00°
Element x y z (fractional)
Nb (0.000, 0.000, 0.000)
Cr (0.000, 0.000, 0.500)
Cr (0.000, 0.500, 0.000)
Cr (0.500, 0.000, 0.000)
Sb (0.500, 0.500, 0.500)

Crystal system = cubic
Electronic total energy = -7.243 eV per atom